(1)
Pr4Tm3ThSe8 (PBE, optimized geometry); DOS at the Fermi energy = 8.54 states/eV/cell; VASP energy = -95.6 eV per cell; crystal system = trigonal; M_tot = 0.0 μB per cell; raw formation energy = -40.0 kcal/mol of atoms
1.0
-0.977 2.713 -7.743
-8.197 1.237 1.468
5.586 3.549 4.947
Pr Tm Th Se
4 3 1 8
Cartesian
-0.488 1.356 -3.871
2.305 3.131 -1.398
0.000 0.000 0.000
2.793 1.775 2.474
-4.587 1.975 -3.138
-1.794 3.750 -0.664
-1.305 2.393 3.207
-4.099 0.618 0.734
-0.751 5.073 4.018
-3.471 3.345 1.610
0.385 2.868 0.956
-1.226 6.393 0.249
-2.361 1.106 -1.577
-3.973 4.631 -2.285
-0.117 4.154 -2.938
-2.837 2.426 -5.346


(2)
Pr2TmThSe4 (PBE, optimized geometry); DOS at the Fermi energy = 4.38 states/eV/cell; VASP energy = -49.1 eV per cell; crystal system = monoclinic; M_tot = 0.0 μB per cell; raw formation energy = -39.5 kcal/mol of atoms
1.0
-3.689 0.455 1.824
-1.969 -6.674 -2.317
3.143 -0.608 6.508
Pr Tm Th Se
2 1 1 4
Cartesian
-0.273 -0.076 4.166
0.587 -3.641 2.096
0.000 0.000 0.000
-2.829 -3.109 -0.246
-1.576 -1.483 1.882
-0.939 -5.343 4.133
1.908 -2.086 4.380
-0.735 -5.195 -0.189


(3)
Pr3Tm2ThSe6 (PBE, optimized geometry); DOS at the Fermi energy = 5.04 states/eV/cell; VASP energy = -72.4 eV per cell; crystal system = monoclinic; M_tot = 0.0 μB per cell; raw formation energy = -39.9 kcal/mol of atoms
1.0
7.215 -0.014 -0.009
-3.618 6.242 -0.009
-1.208 -2.092 6.870
Pr Tm Th Se
3 2 1 6
Cartesian
-2.476 4.188 3.426
4.865 -0.052 3.426
1.194 2.068 3.426
-0.012 4.159 -0.009
3.609 2.069 -0.009
0.000 0.000 0.000
3.639 1.987 5.243
2.354 4.075 1.566
-1.251 2.149 1.610
-0.098 4.146 5.243
0.035 0.060 5.287
2.486 -0.010 1.610


(4)
PrTmTh2Se4 (PBE, optimized geometry); DOS at the Fermi energy = 5.35 states/eV/cell; VASP energy = -51.0 eV per cell; crystal system = monoclinic; M_tot = 0.0 μB per cell; raw formation energy = -37.5 kcal/mol of atoms
1.0
4.122 0.000 0.000
0.000 7.089 0.110
0.000 -2.495 7.004
Pr Tm Th Se
1 1 2 4
Cartesian
0.000 0.000 0.000
2.061 3.544 0.055
2.061 -1.247 3.502
0.000 2.297 3.557
2.061 1.225 1.729
2.061 3.369 5.385
0.000 -0.029 5.381
0.000 4.623 1.733


(5)
Pr2TmTh3Se6 (PBE, optimized geometry); DOS at the Fermi energy = 9.24 states/eV/cell; VASP energy = -76.9 eV per cell; crystal system = monoclinic; M_tot = 0.0 μB per cell; raw formation energy = -37.8 kcal/mol of atoms
1.0
-1.987 -0.589 3.588
2.360 -8.165 -0.033
7.676 4.902 2.662
Pr Tm Th Se
2 1 3 6
Cartesian
5.043 -2.667 4.747
3.006 -1.185 1.470
-0.993 -0.294 1.794
0.187 -4.377 1.777
3.802 1.397 4.727
4.247 -5.249 1.491
6.722 -4.391 3.002
2.615 -3.520 3.263
1.327 0.539 3.215
6.210 2.372 6.220
1.839 -6.223 -0.003
5.434 -0.332 2.954


(6)
Pr4Y3ThSe8 (PBE, optimized geometry); DOS at the Fermi energy = 10.15 states/eV/cell; VASP energy = -102.2 eV per cell; crystal system = trigonal; M_tot = 0.0 μB per cell; raw formation energy = -40.9 kcal/mol of atoms
1.0
8.355 0.000 0.000
0.000 8.423 0.041
-4.177 -4.174 5.911
Pr Y Th Se
4 3 1 8
Cartesian
4.177 0.000 0.000
2.089 -2.087 2.956
0.000 0.000 0.000
-2.089 -2.087 2.956
4.177 4.211 0.020
2.089 2.124 2.976
-2.089 2.124 2.976
0.000 4.211 0.020
-2.057 2.083 5.875
0.000 4.131 2.966
0.000 0.110 3.037
2.057 2.083 5.875
2.120 2.166 0.077
4.177 4.139 2.915
4.177 0.117 2.986
6.235 2.166 0.077


(7)
Pr2YTh3Se6 (PBE, optimized geometry); DOS at the Fermi energy = 9.20 states/eV/cell; VASP energy = -79.1 eV per cell; crystal system = monoclinic; M_tot = 0.0 μB per cell; raw formation energy = -38.2 kcal/mol of atoms
1.0
-1.099 3.934 0.920
-2.850 -2.556 7.531
9.430 0.190 0.921
Pr Y Th Se
2 1 3 6
Cartesian
3.480 1.703 6.406
2.001 -0.134 2.965
-0.549 1.967 0.460
-1.974 0.689 4.225
4.848 2.971 2.616
0.633 -1.402 6.755
3.382 -0.894 7.867
0.748 1.194 5.320
2.099 2.463 1.505
7.607 3.501 3.643
-2.125 -1.933 5.729
4.733 0.375 4.052


(8)
Pr3YTh3Se8 (PBE, optimized geometry); DOS at the Fermi energy = 11.47 states/eV/cell; VASP energy = -97.1 eV per cell; crystal system = trigonal; M_tot = 0.0 μB per cell; raw formation energy = -40.3 kcal/mol of atoms
1.0
8.398 0.000 0.000
-4.199 7.274 -0.025
0.000 -4.826 6.926
Pr Y Th Se
3 1 3 8
Cartesian
0.000 0.000 0.000
-2.100 3.637 -0.013
2.100 3.637 -0.013
0.000 -2.413 3.463
4.199 -2.413 3.463
2.100 1.224 3.450
-2.100 1.224 3.450
0.000 2.430 1.736
4.199 0.018 5.165
4.199 2.428 1.753
0.000 0.020 5.148
6.301 -1.205 1.764
-2.102 3.653 5.137
2.098 -1.205 1.764
2.102 3.653 5.137


(9)
Pr2YThSe4 (PBE, optimized geometry); DOS at the Fermi energy = 4.35 states/eV/cell; VASP energy = -51.3 eV per cell; crystal system = monoclinic; M_tot = 0.0 μB per cell; raw formation energy = -40.1 kcal/mol of atoms
1.0
4.177 0.000 0.000
0.000 7.324 0.152
0.000 -2.533 6.833
Pr Y Th Se
2 1 1 4
Cartesian
2.088 -1.267 3.416
0.000 2.395 3.492
0.000 0.000 0.000
2.088 3.662 0.076
2.088 1.158 1.660
2.088 3.632 5.325
0.000 -0.114 5.213
0.000 4.905 1.772


(10)
PrYTh2Se4 (PBE, optimized geometry); DOS at the Fermi energy = 5.06 states/eV/cell; VASP energy = -53.3 eV per cell; crystal system = monoclinic; M_tot = 0.0 μB per cell; raw formation energy = -38.1 kcal/mol of atoms
1.0
-3.369 -2.266 -1.019
1.611 -4.706 5.139
-4.365 5.241 2.782
Pr Y Th Se
1 1 2 4
Cartesian
0.000 0.000 0.000
-0.879 -3.486 2.060
-3.867 1.487 0.881
-1.377 0.267 3.960
-2.347 -1.047 1.489
-3.777 -0.684 5.412
-2.894 2.754 3.444
0.139 -2.220 4.476


(11)
Pr3Y2ThSe6 (PBE, optimized geometry); DOS at the Fermi energy = 6.77 states/eV/cell; VASP energy = -76.8 eV per cell; crystal system = monoclinic; M_tot = 0.0 μB per cell; raw formation energy = -40.7 kcal/mol of atoms
1.0
-3.244 1.647 -2.051
-4.074 1.093 7.320
6.231 7.004 0.024
Pr Y Th Se
3 2 1 6
Cartesian
-3.659 1.370 2.634
0.811 6.290 -0.483
-1.898 3.454 5.775
-1.266 6.790 3.204
0.179 2.953 2.088
-1.622 0.824 -1.026
-0.627 6.183 5.957
-2.385 4.131 2.837
-0.460 3.561 -0.665
-0.977 0.358 1.832
-0.110 9.385 3.460
1.298 5.613 2.455